# PmHoRh2 meta-GGA SCAN single point on PBEsol structure
data_PmHoRh2
_cell_length_a 6.818
_cell_length_b 6.818
_cell_length_c 6.818
_cell_angle_alpha 90.00
_cell_angle_beta 90.00
_cell_angle_gamma 90.00
_symmetry_space_group_name_H-M 'F m -3 m'
_symmetry_Int_Tables_number 225
_symmetry_space_group_name_Hall '-F 4 2 3'
loop_
_atom_site_label
_atom_site_type_symbol
_atom_site_fract_x
_atom_site_fract_y
_atom_site_fract_z
_atom_site_occupancy
Pm1 Pm 0.000 0.000 0.000 1
Ho1 Ho 0.000 0.000 0.500 1
Rh1 Rh 0.250 0.250 0.250 1
# Total DFT energy (no corrections) ... -41.02 eV per atom
# Spin magnetization ... 0.000 μB per cell
# Calculated formation energy ... -0.893 eV/atom
# N(E_F) ... 8.73 states/eV/cell


# PmHoZn2 meta-GGA SCAN single point on PBEsol structure
data_PmHoZn2
_cell_length_a 7.070
_cell_length_b 7.070
_cell_length_c 7.070
_cell_angle_alpha 90.00
_cell_angle_beta 90.00
_cell_angle_gamma 90.00
_symmetry_space_group_name_H-M 'F m -3 m'
_symmetry_Int_Tables_number 225
_symmetry_space_group_name_Hall '-F 4 2 3'
loop_
_atom_site_label
_atom_site_type_symbol
_atom_site_fract_x
_atom_site_fract_y
_atom_site_fract_z
_atom_site_occupancy
Pm1 Pm 0.000 0.000 0.000 1
Ho1 Ho 0.000 0.000 0.500 1
Zn1 Zn 0.250 0.250 0.250 1
# Total DFT energy (no corrections) ... -30.40 eV per atom
# Spin magnetization ... 0.014 μB per cell
# Calculated formation energy ... -0.395 eV/atom
# N(E_F) ... 17.54 states/eV/cell


# PrHo meta-GGA SCAN single point on PBEsol structure
data_PrHo
_cell_length_a 3.5807
_cell_length_b 3.5807
_cell_length_c 5.7070
_cell_angle_alpha 90.00
_cell_angle_beta 90.00
_cell_angle_gamma 120.00
_symmetry_space_group_name_H-M 'P -6 m 2'
_symmetry_Int_Tables_number 187
_symmetry_space_group_name_Hall 'P -6 2'
loop_
_atom_site_label
_atom_site_type_symbol
_atom_site_fract_x
_atom_site_fract_y
_atom_site_fract_z
_atom_site_occupancy
Pr1 Pr 0.0000 0.0000 0.0000 1
Ho1 Ho 0.6667 0.3333 0.5000 1
# Total DFT energy (no corrections) ... -46.11 eV per atom
# Spin magnetization ... 0.079 μB per cell
# Calculated formation energy ... 0.044 eV/atom
# N(E_F) ... 2.96 states/eV/cell